# KSnHgAu2 | the Alexandria database | PBE | optimized geometry
# Final energy ... -2.5956 eV per atom
# Formation enthalpy at 0 K ... -0.204 eV per atom
# DOS(E_F) ... 2.0 states/eV/f.u.
# Energy above the lowest structure with this stoichiometry ... 0.00 kcal/mol of atoms
data_KSnHgAu2
_chemical_formula_sum 'K2 Sn2 Hg2 Au4'
_space_group_name_H-M_alt 'I m m 2'
_space_group_IT_number 44
_cell_length_a 4.2620
_cell_length_b 4.8203
_cell_length_c 12.9093
_cell_angle_alpha 90.00
_cell_angle_beta 90.00
_cell_angle_gamma 90.00
loop_
_space_group_symop_operation_xyz
'x,y,z'
'-x,-y,z'
'-x,y,z'
'x,-y,z'
'x+1/2,y+1/2,z+1/2'
'-x+1/2,-y+1/2,z+1/2'
'-x+1/2,y+1/2,z+1/2'
'x+1/2,-y+1/2,z+1/2'
loop_
_atom_site_label
_atom_site_fract_x
_atom_site_fract_y
_atom_site_fract_z
K1 0.0000 0.0000 0.0000
Sn1 0.0000 0.5000 0.7603
Hg1 0.0000 0.0000 0.6134
Au1 0.0000 0.0000 0.3977
Au2 0.0000 0.5000 0.2717



# KSnHgAu2 | the Alexandria database | PBE | optimized geometry
# Final energy ... -2.5050 eV per atom
# Formation enthalpy at 0 K ... -0.114 eV per atom
# DOS(E_F) ... 1.2 states/eV/f.u.
# Energy above the lowest structure with this stoichiometry ... 2.09 kcal/mol of atoms
data_KSnHgAu2
_chemical_formula_sum 'K1 Sn1 Hg1 Au2'
_space_group_name_H-M_alt 'P 4/m m m'
_space_group_IT_number 123
_space_group_name_Hall '-P 4 2'
_cell_length_a 5.4471
_cell_length_b 5.4471
_cell_length_c 5.5670
_cell_angle_alpha 90.00
_cell_angle_beta 90.00
_cell_angle_gamma 90.00
loop_
_atom_site_label
_atom_site_fract_x
_atom_site_fract_y
_atom_site_fract_z
K1 0.0000 0.0000 0.0000
Sn1 0.5000 0.5000 0.5000
Hg1 0.5000 0.5000 0.0000
Au1 0.0000 0.5000 0.5000



# KSrHgAu | the Alexandria database | PBE | optimized geometry
# Final energy ... -1.9581 eV per atom
# Formation enthalpy at 0 K ... -0.368 eV per atom
# DOS(E_F) ... 3.0 states/eV/f.u.
data_KSrHgAu
_chemical_formula_sum 'K4 Sr4 Hg4 Au4'
_space_group_name_H-M_alt 'F -4 3 m'
_space_group_IT_number 216
_space_group_name_Hall 'F -4 2 3'
_cell_length_a 7.9515
_cell_length_b 7.9515
_cell_length_c 7.9515
_cell_angle_alpha 90.00
_cell_angle_beta 90.00
_cell_angle_gamma 90.00
loop_
_atom_site_label
_atom_site_fract_x
_atom_site_fract_y
_atom_site_fract_z
K1 0.0000 0.0000 0.0000
Sr1 0.0000 0.0000 0.5000
Hg1 0.2500 0.2500 0.7500
Au1 0.2500 0.2500 0.2500



# KSr2HgAu | the Alexandria database | PBE | optimized geometry
# Final energy ... -0.9912 eV per atom
# Formation enthalpy at 0 K ... 0.617 eV per atom
# DOS(E_F) ... 3.5 states/eV/f.u.
data_KSr2HgAu
_chemical_formula_sum 'K1 Sr2 Hg1 Au1'
_space_group_name_H-M_alt 'P 4/m m m'
_space_group_IT_number 123
_space_group_name_Hall '-P 4 2'
_cell_length_a 6.8809
_cell_length_b 6.8809
_cell_length_c 5.7072
_cell_angle_alpha 90.00
_cell_angle_beta 90.00
_cell_angle_gamma 90.00
loop_
_atom_site_label
_atom_site_fract_x
_atom_site_fract_y
_atom_site_fract_z
K1 0.0000 0.0000 0.0000
Sr1 0.0000 0.5000 0.0000
Hg1 0.0000 0.0000 0.5000
Au1 0.5000 0.5000 0.5000



# K2TlHgAu | the Alexandria database | PBE | optimized geometry
# Final energy ... -1.7179 eV per atom
# Formation enthalpy at 0 K ... -0.090 eV per atom
# DOS(E_F) ... 5.1 states/eV/f.u.
# Energy above the lowest structure with this stoichiometry ... 0.00 kcal/mol of atoms
data_K2TlHgAu
_chemical_formula_sum 'K2 Tl1 Hg1 Au1'
_space_group_name_H-M_alt 'P 4/m m m'
_space_group_IT_number 123
_space_group_name_Hall '-P 4 2'
_cell_length_a 6.4270
_cell_length_b 6.4270
_cell_length_c 5.3078
_cell_angle_alpha 90.00
_cell_angle_beta 90.00
_cell_angle_gamma 90.00
loop_
_atom_site_label
_atom_site_fract_x
_atom_site_fract_y
_atom_site_fract_z
K1 0.0000 0.5000 0.0000
Tl1 0.0000 0.0000 0.5000
Hg1 0.5000 0.5000 0.5000
Au1 0.0000 0.0000 0.0000



# K2TlHgAu | the Alexandria database | PBE | optimized geometry
# Final energy ... -1.6797 eV per atom
# Formation enthalpy at 0 K ... -0.052 eV per atom
# DOS(E_F) ... 2.4 states/eV/f.u.
# Energy above the lowest structure with this stoichiometry ... 0.88 kcal/mol of atoms
data_K2TlHgAu
_chemical_formula_sum 'K2 Tl1 Hg1 Au1'
_space_group_name_H-M_alt 'P 4/m m m'
_space_group_IT_number 123
_space_group_name_Hall '-P 4 2'
_cell_length_a 6.2220
_cell_length_b 6.2220
_cell_length_c 5.3845
_cell_angle_alpha 90.00
_cell_angle_beta 90.00
_cell_angle_gamma 90.00
loop_
_atom_site_label
_atom_site_fract_x
_atom_site_fract_y
_atom_site_fract_z
K1 0.0000 0.5000 0.0000
Tl1 0.0000 0.0000 0.5000
Hg1 0.5000 0.5000 0.5000
Au1 0.5000 0.5000 0.0000



# KTlHg2Au | the Alexandria database | PBE | optimized geometry
# Final energy ... -1.4666 eV per atom
# Formation enthalpy at 0 K ... 0.002 eV per atom
# DOS(E_F) ... 3.1 states/eV/f.u.
# Energy above the lowest structure with this stoichiometry ... 4.20 kcal/mol of atoms
data_KTlHg2Au
_chemical_formula_sum 'K1 Tl1 Hg2 Au1'
_space_group_name_H-M_alt 'P 4/m m m'
_space_group_IT_number 123
_space_group_name_Hall '-P 4 2'
_cell_length_a 5.4280
_cell_length_b 5.4280
_cell_length_c 6.0456
_cell_angle_alpha 90.00
_cell_angle_beta 90.00
_cell_angle_gamma 90.00
loop_
_atom_site_label
_atom_site_fract_x
_atom_site_fract_y
_atom_site_fract_z
K1 0.0000 0.0000 0.0000
Tl1 0.5000 0.5000 0.0000
Hg1 0.0000 0.5000 0.5000
Au1 0.0000 0.0000 0.5000



# K2TlHg4Au3 | the Alexandria database | PBE | optimized geometry
# Final energy ... -1.7361 eV per atom
# Formation enthalpy at 0 K ... -0.176 eV per atom
# DOS(E_F) ... 2.0 states/eV/f.u.
data_K2TlHg4Au3
_chemical_formula_sum 'K2 Tl1 Hg4 Au3'
_space_group_name_H-M_alt 'P -4 m 2'
_space_group_IT_number 115
_cell_length_a 4.5762
_cell_length_b 4.5762
_cell_length_c 13.4706
_cell_angle_alpha 90.00
_cell_angle_beta 90.00
_cell_angle_gamma 90.00
loop_
_space_group_symop_operation_xyz
'x,y,z'
'y,-x,-z'
'-x,-y,z'
'-y,x,-z'
'-x,y,z'
'-y,-x,-z'
'x,-y,z'
'y,x,-z'
loop_
_atom_site_label
_atom_site_fract_x
_atom_site_fract_y
_atom_site_fract_z
K1 0.0000 0.5000 0.2291
Tl1 0.0000 0.0000 0.5000
Hg1 0.0000 0.0000 0.0000
Hg2 0.0000 0.5000 0.6538
Hg3 0.5000 0.5000 0.0000
Au1 0.0000 0.5000 0.8609
Au2 0.5000 0.5000 0.5000



# KTlHg2Au2 | the Alexandria database | PBE | optimized geometry
# Final energy ... -1.9181 eV per atom
# Formation enthalpy at 0 K ... -0.148 eV per atom
# DOS(E_F) ... 2.0 states/eV/f.u.
data_KTlHg2Au2
_chemical_formula_sum 'K1 Tl1 Hg2 Au2'
_space_group_name_H-M_alt 'P -3 m 1'
_space_group_IT_number 164
_space_group_name_Hall '-P 3 2"'
_cell_length_a 4.9585
_cell_length_b 4.9585
_cell_length_c 7.7530
_cell_angle_alpha 90.00
_cell_angle_beta 90.00
_cell_angle_gamma 120.00
loop_
_atom_site_label
_atom_site_fract_x
_atom_site_fract_y
_atom_site_fract_z
K1 0.0000 0.0000 0.0000
Tl1 0.0000 0.0000 0.5000
Hg1 0.3333 0.6667 0.7279
Au1 0.3333 0.6667 0.2968



# KTlHg2Au | the Alexandria database | PBE | optimized geometry
# Final energy ... -1.4683 eV per atom
# Formation enthalpy at 0 K ... 0.001 eV per atom
# DOS(E_F) ... 2.3 states/eV/f.u.
# Energy above the lowest structure with this stoichiometry ... 4.16 kcal/mol of atoms
data_KTlHg2Au
_chemical_formula_sum 'K1 Tl1 Hg2 Au1'
_space_group_name_H-M_alt 'P 4/m m m'
_space_group_IT_number 123
_space_group_name_Hall '-P 4 2'
_cell_length_a 5.8391
_cell_length_b 5.8391
_cell_length_c 5.4732
_cell_angle_alpha 90.00
_cell_angle_beta 90.00
_cell_angle_gamma 90.00
loop_
_atom_site_label
_atom_site_fract_x
_atom_site_fract_y
_atom_site_fract_z
K1 0.0000 0.0000 0.0000
Tl1 0.5000 0.5000 0.5000
Hg1 0.0000 0.5000 0.5000
Au1 0.5000 0.5000 0.0000



# K2Tl3HgAu4 | the Alexandria database | PBE | optimized geometry
# Final energy ... -2.4484 eV per atom
# Formation enthalpy at 0 K ... -0.178 eV per atom
# DOS(E_F) ... 3.2 states/eV/f.u.
data_K2Tl3HgAu4
_chemical_formula_sum 'K2 Tl3 Hg1 Au4'
_space_group_name_H-M_alt 'P -4 m 2'
_space_group_IT_number 115
_cell_length_a 4.9821
_cell_length_b 4.9821
_cell_length_c 11.6961
_cell_angle_alpha 90.00
_cell_angle_beta 90.00
_cell_angle_gamma 90.00
loop_
_space_group_symop_operation_xyz
'x,y,z'
'y,-x,-z'
'-x,-y,z'
'-y,x,-z'
'-x,y,z'
'-y,-x,-z'
'x,-y,z'
'y,x,-z'
loop_
_atom_site_label
_atom_site_fract_x
_atom_site_fract_y
_atom_site_fract_z
K1 0.0000 0.5000 0.2438
Tl1 0.0000 0.5000 0.8757
Tl2 0.5000 0.5000 0.5000
Hg1 0.0000 0.0000 0.5000
Au1 0.0000 0.0000 0.0000
Au2 0.0000 0.5000 0.6334
Au3 0.5000 0.5000 0.0000



# K3Tl2Hg4Au2 | the Alexandria database | PBE | optimized geometry
# Final energy ... -1.6246 eV per atom
# Formation enthalpy at 0 K ... -0.189 eV per atom
# DOS(E_F) ... 4.5 states/eV/f.u.
data_K3Tl2Hg4Au2
_chemical_formula_sum 'K3 Tl2 Hg4 Au2'
_space_group_name_H-M_alt 'P -3 m 1'
_space_group_IT_number 164
_space_group_name_Hall '-P 3 2"'
_cell_length_a 4.9936
_cell_length_b 4.9936
_cell_length_c 16.8783
_cell_angle_alpha 90.00
_cell_angle_beta 90.00
_cell_angle_gamma 120.00
loop_
_atom_site_label
_atom_site_fract_x
_atom_site_fract_y
_atom_site_fract_z
K1 0.0000 0.0000 0.0000
K2 0.0000 0.0000 0.2484
Tl1 0.3333 0.6667 0.5639
Hg1 0.3333 0.6667 0.3703
Hg2 0.3333 0.6667 0.8763
Au1 0.3333 0.6667 0.1262



Question: Among the records above, which one has the lowest DOS(E_F)?
Answer: number 2



What did the tenth record say?
# KTlHg2Au | the Alexandria database | PBE | optimized geometry
# Final energy ... -1.4683 eV per atom
# Formation enthalpy at 0 K ... 0.001 eV per atom
# DOS(E_F) ... 2.3 states/eV/f.u.
# Energy above the lowest structure with this stoichiometry ... 4.16 kcal/mol of atoms
data_KTlHg2Au
_chemical_formula_sum 'K1 Tl1 Hg2 Au1'
_space_group_name_H-M_alt 'P 4/m m m'
_space_group_IT_number 123
_space_group_name_Hall '-P 4 2'
_cell_length_a 5.8391
_cell_length_b 5.8391
_cell_length_c 5.4732
_cell_angle_alpha 90.00
_cell_angle_beta 90.00
_cell_angle_gamma 90.00
loop_
_atom_site_label
_atom_site_fract_x
_atom_site_fract_y
_atom_site_fract_z
K1 0.0000 0.0000 0.0000
Tl1 0.5000 0.5000 0.5000
Hg1 0.0000 0.5000 0.5000
Au1 0.5000 0.5000 0.0000



Question: What is the formula in the first record?
Answer: KSnHgAu2



Question: Number 3 is which compound?
Answer: KSrHgAu